# TbTmBr6 (PBE, relaxed)
# E_tot: -0.15460 Ha/atom
# energy relative to the lowest polymorph listed for this composition: 15.6 kJ/mol of formula units
# total moment: 0.00 μB per cell
# ΔE_f (raw): -1.8144 eV/atom
data_TbTmBr6
_chemical_formula_sum 'Tb3 Tm3 Br18'
_symmetry_space_group_name_H-M 'R -3'
_symmetry_Int_Tables_number 148
_symmetry_space_group_name_Hall '-R 3'
_cell_length_a 7.0463
_cell_length_b 7.0463
_cell_length_c 19.1181
_cell_angle_alpha 90.00
_cell_angle_beta 90.00
_cell_angle_gamma 120.00
loop_
_atom_site_label
_atom_site_type_symbol
_atom_site_fract_x
_atom_site_fract_y
_atom_site_fract_z
Tb1 Tb 0.0000 0.0000 0.0000
Tm1 Tm 0.0000 0.0000 0.5000
Br1 Br 0.0039 0.3473 0.2493


# TbTmBr6 (PBE, relaxed)
# E_tot: -0.15534 Ha/atom
# energy relative to the lowest polymorph listed for this composition: 0.0 kJ/mol of formula units
# total moment: 0.00 μB per cell
# ΔE_f (raw): -1.8346 eV/atom
data_TbTmBr6
_chemical_formula_sum 'Tb2 Tm2 Br12'
_symmetry_space_group_name_H-M 'C 1 2/m 1'
_symmetry_Int_Tables_number 12
_cell_length_a 6.9201
_cell_length_b 13.5331
_cell_length_c 6.9205
_cell_angle_alpha 90.00
_cell_angle_beta 107.29
_cell_angle_gamma 90.00
loop_
_symmetry_equiv_pos_as_xyz
'x,y,z'
'-x,-y,-z'
'-x,y,-z'
'x,-y,z'
'x+1/2,y+1/2,z'
'-x+1/2,-y+1/2,-z'
'-x+1/2,y+1/2,-z'
'x+1/2,-y+1/2,z'
loop_
_atom_site_label
_atom_site_type_symbol
_atom_site_fract_x
_atom_site_fract_y
_atom_site_fract_z
Tb1 Tb 0.0000 0.0000 0.0000
Tm1 Tm 0.0000 0.5000 0.5000
Br1 Br 0.2457 0.3584 0.7457
Br2 Br 0.2486 0.5000 0.2525


Number 1 is which compound?
TbTmBr6


The highest E_tot belongs to which entry?
number 1


Which value of E_tot does entry 1 give?
-0.15460 Ha/atom